Entry from Alexandria: Hf2TiBi4 after structural relaxation (PBE-GGA).

Cell and atoms, written as extended XYZ:
```
7
Lattice="3.962 0.000 0.000 0.000 7.240 -0.029 -1.981 -3.560 6.797" Properties=species:S:1:pos:R:3 pbc="T T T"
Bi 0.000 4.788 1.469
Hf 0.000 -0.066 3.307
Bi 1.981 -1.107 5.299
Ti 0.000 0.000 0.000
Bi 1.981 1.405 1.557
Hf 1.981 3.747 3.462
Bi 0.000 2.276 5.211
```

As for the spin magnetization: 0.000 μB/atom. The calculation puts the formation energy at -62.8 meV per atom. The energy is -6.252 eV/atom. As for the space group: C2/m (12).